No. 1
A plane-wave DFT calculation with PBE+U was carried out for a relaxed structure of HfCrGa2O6.

Summary:
Final energy (eV/f.u.): -75.46
SG: P1, No. 1

Geometry as POSCAR:
```
HfCrGa2O6
1.0
5.050 0.000 0.000
-2.428 4.819 0.000
-0.039 -2.545 4.762
Hf Cr Ga O
1 1 2 6
Direct
0.000 0.000 0.000 Hf
0.484 0.976 0.490 Cr
0.285 0.538 0.847 Ga
0.760 0.537 0.362 Ga
0.037 0.438 0.146 O
0.213 0.129 0.711 O
0.407 0.132 0.223 O
0.584 0.763 0.687 O
0.683 0.764 0.190 O
0.958 0.563 0.703 O
```



No. 2
A plane-wave DFT calculation with PBE+U was carried out for a relaxed structure of RbMo2AsO8.

Summary:
Final energy (eV/f.u.): -77.96
SG: C2/m, No. 12
Fermi-level density of states (states/eV per cell): 0.00

Geometry as POSCAR:
```
RbMo2AsO8
1.0
4.723 -2.977 0.000
4.723 2.977 0.000
-0.419 0.000 8.308
Rb Mo As O
1 2 1 8
Direct
0.000 0.000 0.000 Rb
0.366 0.366 0.703 Mo
0.634 0.634 0.297 Mo
0.000 0.000 0.500 As
0.218 0.218 0.556 O
0.222 0.725 0.680 O
0.275 0.778 0.320 O
0.305 0.305 0.898 O
0.695 0.695 0.102 O
0.725 0.222 0.680 O
0.778 0.275 0.320 O
0.782 0.782 0.444 O
```